An optimized crystal structure of Zr2CdP. Source: Alexandria, functional PBE.

Results
**Formation energy**: 293 meV/atom
**E above lowest polymorph**: 1025 meV per atom

abc: 4.858 4.858 4.858
angles: 60.00 60.00 60.00
Last column: magnetic moment on the atom in μB.
Sites, in units of the cell vectors:
Zr 0.000 0.000 0.000  0.33
Zr 0.750 0.750 0.750  0.53
Cd 0.500 0.500 0.500  0.00
P 0.250 0.250 0.250  -0.03